# 1
A relaxed BeInAg2 crystal. Source: Alexandria, functional PBE.

E_tot: -2.7894 eV/atom
Distance to the lowest polymorph of the same formula: 114 meV per atom
Formation enthalpy at 0 K: 0.252 eV per atom
Total magnetic moment: 0.0 μB/f.u.

Lattice parameters (Å, degrees): 8.788 8.788 8.788 20.13 20.13 20.13
Positions (direct):
In (0.759, 0.759, 0.759)
Ag (0.997, 0.997, 0.997)
Ag (0.239, 0.239, 0.239)
Be (0.506, 0.506, 0.506)


# 2
A relaxed AgBi3Cl crystal. Source: Alexandria, functional PBE.

E_tot: -2.5393 eV/atom
Distance to the lowest polymorph of the same formula: 276 meV per atom
ΔE_f (raw): 0.7289 eV per atom
Total magnetic moment: 0.0 μB/f.u.

Lattice parameters (Å, degrees): 5.522 5.522 5.522 90.00 90.00 90.00
Positions (direct):
Bi (0.000, 0.000, 0.500)
Bi (0.500, 0.000, 0.000)
Bi (0.000, 0.500, 0.000)
Ag (0.500, 0.500, 0.500)
Cl (0.000, 0.000, 0.000)


# 3
A relaxed La2MnCu crystal. Source: Alexandria, functional PBE.

E_tot: -5.6927 eV/atom
Formation enthalpy at 0 K: 0.087 eV per atom
Total magnetic moment: 3.2 μB/f.u.

Lattice parameters (Å, degrees): 3.671 3.662 8.322 63.87 90.00 90.00
Last column: magnetic moment on the atom in μB.
Positions (direct):
Cu (0.500, 0.750, 0.750)  0.00
Mn (0.500, 0.250, 0.250)  3.57
La (0.000, 0.006, 0.994)  -0.15
La (0.000, 0.494, 0.506)  -0.15


# 4
A relaxed K2ZnN crystal. Source: Alexandria, functional PBE.

E_tot: -2.1319 eV/atom
Distance to the lowest polymorph of the same formula: 688 meV per atom
ΔE_f (raw): 0.8167 eV per atom
Total magnetic moment: 1.0 μB/f.u.

Lattice parameters (Å, degrees): 5.259 5.259 5.259 60.00 60.00 60.00
Last column: magnetic moment on the atom in μB.
Positions (direct):
Zn (0.500, 0.500, 0.500)  -0.01
N (0.000, 0.000, 0.000)  0.77
K (0.250, 0.250, 0.250)  -0.01
K (0.750, 0.750, 0.750)  -0.01


# 5
A relaxed TmSiB crystal. Source: Alexandria, functional PBE.

E_tot: -5.5711 eV/atom
Distance to the lowest polymorph of the same formula: 606 meV per atom
ΔE_f (raw): -0.0471 eV per atom
Total magnetic moment: 0.0 μB/f.u.

Lattice parameters (Å, degrees): 5.479 5.479 10.521 90.00 90.00 120.00
Positions (direct):
B (0.181, 0.591, 0.833)
B (0.409, 0.591, 0.500)
B (0.591, 0.409, 0.500)
B (0.409, 0.819, 0.167)
B (0.819, 0.409, 0.833)
B (0.591, 0.181, 0.167)
Tm (0.500, 0.500, 0.000)
Tm (0.000, 0.000, 0.500)
Tm (0.000, 0.500, 0.333)
Tm (0.000, 0.000, 0.167)
Tm (0.000, 0.000, 0.833)
Tm (0.500, 0.000, 0.667)
Si (0.500, 0.500, 0.714)
Si (0.000, 0.500, 0.619)
Si (0.500, 0.000, 0.381)
Si (0.500, 0.000, 0.952)
Si (0.500, 0.500, 0.286)
Si (0.000, 0.500, 0.048)


# 6
A relaxed PaTl3Br8 crystal. Source: Alexandria, functional PBE.

E_tot: -3.5677 eV/atom
ΔE_f (raw): -1.0696 eV per atom
Total magnetic moment: 0.0 μB/f.u.

Lattice parameters (Å, degrees): 7.553 7.553 7.553 90.00 90.00 90.00
Positions (direct):
Br (0.777, 0.223, 0.777)
Br (0.777, 0.777, 0.777)
Br (0.223, 0.223, 0.777)
Br (0.223, 0.223, 0.223)
Br (0.223, 0.777, 0.223)
Br (0.777, 0.777, 0.223)
Br (0.223, 0.777, 0.777)
Br (0.777, 0.223, 0.223)
Pa (0.000, 0.000, 0.000)
Tl (0.500, 0.000, 0.500)
Tl (0.500, 0.500, 0.000)
Tl (0.000, 0.500, 0.500)


# 7
A relaxed MgBCl crystal. Source: Alexandria, functional PBE.

E_tot: -4.0198 eV/atom
Distance to the lowest polymorph of the same formula: 165 meV per atom
ΔE_f (raw): -0.6469 eV per atom
Total magnetic moment: 0.0 μB/f.u.

Lattice parameters (Å, degrees): 7.632 3.212 9.085 90.00 107.79 90.00
Positions (direct):
Mg (0.483, 0.000, 0.407)
Mg (0.483, 0.500, 0.907)
Mg (0.085, 0.500, 0.521)
Mg (0.085, 0.000, 0.021)
B (0.143, 0.000, 0.773)
B (0.141, 0.500, 0.796)
B (0.143, 0.500, 0.273)
B (0.141, 0.000, 0.296)
Cl (0.735, 0.000, 0.918)
Cl (0.446, 0.000, 0.111)
Cl (0.446, 0.500, 0.611)
Cl (0.735, 0.500, 0.418)


# 8
A relaxed ZnGeAs2Se crystal. Source: Alexandria, functional PBE.

E_tot: -3.0963 eV/atom
Distance to the lowest polymorph of the same formula: 0 meV per atom
ΔE_f (raw): 0.6387 eV per atom
Total magnetic moment: 0.0 μB/f.u.

Lattice parameters (Å, degrees): 4.780 4.780 5.070 90.00 90.00 90.00
Positions (direct):
Zn (0.000, 0.000, 0.000)
Se (0.000, 0.000, 0.500)
As (0.500, 0.000, 0.000)
As (0.000, 0.500, 0.000)
Ge (0.500, 0.500, 0.500)


# 9
A relaxed InTc3Ge crystal. Source: Alexandria, functional PBE.

E_tot: -6.6522 eV/atom
Distance to the lowest polymorph of the same formula: 0 meV per atom
Formation enthalpy at 0 K: 1.039 eV per atom
Total magnetic moment: 2.3 μB/f.u.

Lattice parameters (Å, degrees): 4.584 4.584 4.584 90.00 90.00 90.00
Last column: magnetic moment on the atom in μB.
Positions (direct):
Tc (0.000, 0.500, 0.000)  0.77
Tc (0.500, 0.000, 0.000)  0.66
Tc (0.000, 0.000, 0.500)  0.75
In (0.500, 0.500, 0.500)  -0.04
Ge (0.000, 0.000, 0.000)  -0.01


# 10
A relaxed SrFePt crystal. Source: Alexandria, functional PBE.

E_tot: -4.4946 eV/atom
Formation enthalpy at 0 K: 0.901 eV per atom
Total magnetic moment: 3.5 μB/f.u.

Lattice parameters (Å, degrees): 4.834 4.834 4.834 60.00 60.00 60.00
Last column: magnetic moment on the atom in μB.
Positions (direct):
Pt (0.500, 0.500, 0.500)  0.17
Sr (0.750, 0.750, 0.750)  0.00
Fe (0.000, 0.000, 0.000)  3.21


# 11
A relaxed TlReCl2 crystal. Source: Alexandria, functional PBE.

E_tot: -3.7699 eV/atom
Distance to the lowest polymorph of the same formula: 765 meV per atom
ΔE_f (raw): 0.8570 eV per atom
Total magnetic moment: 4.7 μB/f.u.

Lattice parameters (Å, degrees): 6.556 6.556 6.556 143.07 143.07 53.22
Last column: magnetic moment on the atom in μB.
Positions (direct):
Re (0.500, 0.500, 0.000)  3.71
Tl (0.750, 0.250, 0.500)  0.03
Cl (0.250, 0.750, 0.500)  0.08
Cl (0.000, 0.000, 0.000)  0.05


# 12
A relaxed Li3SbF crystal. Source: Alexandria, functional PBE.

E_tot: -2.8797 eV/atom
Distance to the lowest polymorph of the same formula: 878 meV per atom
ΔE_f (raw): -0.5326 eV per atom
Total magnetic moment: 1.0 μB/f.u.

Lattice parameters (Å, degrees): 5.249 5.249 5.249 90.00 90.00 90.00
Last column: magnetic moment on the atom in μB.
Positions (direct):
Sb (0.000, 0.000, 0.000)  0.27
F (0.500, 0.500, 0.500)  0.18
Li (0.000, 0.500, 0.000)  0.01
Li (0.500, 0.000, 0.000)  0.00
Li (0.000, 0.000, 0.500)  0.02


# 13
A relaxed SmScAu crystal. Source: Alexandria, functional PBE.

E_tot: -5.3773 eV/atom
Distance to the lowest polymorph of the same formula: 0 meV per atom
Formation enthalpy at 0 K: -0.601 eV per atom
Total magnetic moment: 0.0 μB/f.u.

Lattice parameters (Å, degrees): 4.631 4.631 7.119 90.00 90.00 90.00
Positions (direct):
Sm (0.500, 0.000, 0.130)
Sm (0.000, 0.500, 0.870)
Au (0.000, 0.500, 0.277)
Au (0.500, 0.000, 0.723)
Sc (0.500, 0.500, 0.500)
Sc (0.000, 0.000, 0.500)


# 14
A relaxed Na2Nb3O8 crystal. Source: Alexandria, functional PBE.

E_tot: -7.9407 eV/atom
ΔE_f (raw): -2.3627 eV per atom
Total magnetic moment: 0.9 μB/f.u.

Lattice parameters (Å, degrees): 5.255 6.338 6.695 118.25 108.60 90.00
Last column: magnetic moment on the atom in μB.
Positions (direct):
Nb (0.500, 0.000, 0.000)  0.04
Nb (0.000, 0.725, 0.000)  0.36
Nb (0.000, 0.275, 0.000)  0.36
O (0.607, 0.124, 0.804)  -0.01
O (0.905, 0.096, 0.192)  0.01
O (0.393, 0.876, 0.196)  -0.01
O (0.393, 0.320, 0.196)  -0.01
O (0.095, 0.904, 0.808)  0.01
O (0.950, 0.609, 0.217)  0.04
O (0.050, 0.391, 0.783)  0.04
O (0.607, 0.680, 0.804)  -0.01
Na (0.664, 0.725, 0.449)  0.00
Na (0.336, 0.275, 0.551)  0.00


# 15
A relaxed In2TeIrPb crystal. Source: Alexandria, functional PBE.

E_tot: -4.3429 eV/atom
ΔE_f (raw): -0.1053 eV per atom
Total magnetic moment: 0.0 μB/f.u.

Lattice parameters (Å, degrees): 5.225 5.225 5.310 90.00 90.00 90.00
Positions (direct):
Te (0.500, 0.500, 0.500)
In (0.000, 0.500, 0.000)
In (0.500, 0.000, 0.000)
Pb (0.000, 0.000, 0.500)
Ir (0.000, 0.000, 0.000)


# 16
A relaxed ZrTiBeNi crystal. Source: Alexandria, functional PBE.

E_tot: -6.6253 eV/atom
Formation enthalpy at 0 K: -0.138 eV per atom
Total magnetic moment: 1.7 μB/f.u.

Lattice parameters (Å, degrees): 4.396 4.396 4.396 60.00 60.00 60.00
Last column: magnetic moment on the atom in μB.
Positions (direct):
Zr (0.750, 0.750, 0.750)  0.20
Ni (0.000, 0.000, 0.000)  0.54
Be (0.500, 0.500, 0.500)  0.04
Ti (0.250, 0.250, 0.250)  0.65


# 17
A relaxed Dy4AlAg2Hg crystal. Source: Alexandria, functional PBE.

E_tot: -3.8948 eV/atom
Formation enthalpy at 0 K: -0.375 eV per atom
Total magnetic moment: 0.0 μB/f.u.

Lattice parameters (Å, degrees): 5.170 5.170 8.974 73.26 73.26 60.00
Positions (direct):
Ag (0.753, 0.753, 0.741)
Ag (0.247, 0.247, 0.259)
Hg (0.000, 0.000, 0.000)
Dy (0.624, 0.624, 0.127)
Dy (0.126, 0.126, 0.623)
Dy (0.874, 0.874, 0.377)
Dy (0.376, 0.376, 0.873)
Al (0.500, 0.500, 0.500)


# 18
A relaxed Tm8Tl2Rh crystal. Source: Alexandria, functional PBE.

E_tot: -4.6268 eV/atom
Formation enthalpy at 0 K: -0.276 eV per atom
Total magnetic moment: 0.0 μB/f.u.

Lattice parameters (Å, degrees): 5.196 6.679 9.781 112.92 105.40 90.00
Positions (direct):
Tm (0.592, 0.439, 0.185)
Tm (0.981, 0.207, 0.962)
Tm (0.351, 0.003, 0.702)
Tm (0.408, 0.561, 0.815)
Tm (0.793, 0.667, 0.586)
Tm (0.019, 0.793, 0.038)
Tm (0.207, 0.333, 0.414)
Tm (0.649, 0.997, 0.298)
Tl (0.171, 0.739, 0.342)
Tl (0.829, 0.261, 0.658)
Rh (0.500, 0.000, 0.000)


# 19
A relaxed Zn2RhN crystal. Source: Alexandria, functional PBE.

E_tot: -4.2382 eV/atom
ΔE_f (raw): 0.3180 eV per atom
Total magnetic moment: 0.0 μB/f.u.

Lattice parameters (Å, degrees): 6.651 6.651 5.222 50.44 50.44 90.00
Positions (direct):
N (0.250, 0.750, 0.500)
N (0.500, 0.500, 0.000)
Rh (0.000, 0.000, 0.000)
Rh (0.750, 0.250, 0.500)
Zn (0.542, 0.125, 0.250)
Zn (0.875, 0.792, 0.750)
Zn (0.208, 0.625, 0.250)
Zn (0.375, 0.458, 0.750)


# 20
A relaxed PrPuSe crystal. Source: Alexandria, functional PBE.

E_tot: -8.3231 eV/atom
ΔE_f (raw): -0.7912 eV per atom
Total magnetic moment: 6.3 μB/f.u.

Lattice parameters (Å, degrees): 4.085 9.372 9.372 90.00 90.00 90.00
Last column: magnetic moment on the atom in μB.
Positions (direct):
Pu (0.500, 0.835, 0.119)  5.73
Pu (0.000, 0.119, 0.165)  5.73
Pu (0.000, 0.881, 0.835)  5.73
Pu (0.500, 0.165, 0.881)  5.73
Se (0.000, 0.860, 0.344)  -0.04
Se (0.500, 0.656, 0.860)  -0.04
Se (0.000, 0.140, 0.656)  -0.04
Se (0.500, 0.344, 0.140)  -0.04
Pr (0.000, 0.454, 0.738)  0.03
Pr (0.000, 0.546, 0.262)  0.03
Pr (0.500, 0.262, 0.454)  0.03
Pr (0.500, 0.738, 0.546)  0.03


# 21
A relaxed Dy2YU2Ru5 crystal. Source: Alexandria, functional PBE.

E_tot: -8.7390 eV/atom
Formation enthalpy at 0 K: -0.277 eV per atom
Total magnetic moment: 0.0 μB/f.u.

Lattice parameters (Å, degrees): 3.615 10.597 10.597 90.00 90.00 90.00
Positions (direct):
Ru (0.500, 0.215, 0.054)
Ru (0.500, 0.946, 0.215)
Ru (0.500, 0.446, 0.285)
Ru (0.500, 0.554, 0.715)
Ru (0.500, 0.054, 0.785)
Ru (0.500, 0.785, 0.946)
Ru (0.500, 0.000, 0.500)
Ru (0.500, 0.715, 0.446)
Ru (0.500, 0.500, 0.000)
Ru (0.500, 0.285, 0.554)
Dy (0.000, 0.675, 0.175)
Dy (0.000, 0.175, 0.325)
Dy (0.000, 0.825, 0.675)
Dy (0.000, 0.325, 0.825)
U (0.000, 0.634, 0.866)
U (0.000, 0.866, 0.366)
U (0.000, 0.366, 0.134)
U (0.000, 0.134, 0.634)
Y (0.000, 0.000, 0.000)
Y (0.000, 0.500, 0.500)


# 22
A relaxed Tb6PmDy2 crystal. Source: Alexandria, functional PBE.

E_tot: -4.4414 eV/atom
Distance to the lowest polymorph of the same formula: 180 meV per atom
Formation enthalpy at 0 K: 0.196 eV per atom
Total magnetic moment: 0.0 μB/f.u.

Lattice parameters (Å, degrees): 3.460 6.026 17.392 116.61 84.29 73.31
Positions (direct):
Dy (0.833, 0.499, 0.834)
Dy (0.167, 0.501, 0.166)
Tb (0.564, 0.809, 0.063)
Tb (0.102, 0.192, 0.605)
Tb (0.898, 0.808, 0.395)
Tb (0.772, 0.188, 0.268)
Tb (0.228, 0.812, 0.732)
Tb (0.436, 0.191, 0.937)
Pm (0.500, 0.500, 0.500)


# 23
A relaxed TmBeSi crystal. Source: Alexandria, functional PBE.

E_tot: -5.1891 eV/atom
ΔE_f (raw): -0.6489 eV per atom
Total magnetic moment: 0.0 μB/f.u.

Lattice parameters (Å, degrees): 3.836 3.836 11.865 90.00 90.00 120.00
Positions (direct):
Tm (0.495, 0.989, 0.333)
Tm (0.495, 0.989, 0.667)
Tm (0.495, 0.989, 0.000)
Be (0.828, 0.656, 0.500)
Be (0.161, 0.323, 0.837)
Be (0.161, 0.323, 0.163)
Si (0.828, 0.656, 0.168)
Si (0.828, 0.656, 0.832)
Si (0.161, 0.323, 0.500)


# 24
A relaxed Ho8HgGe3Te4 crystal. Source: Alexandria, functional PBE.

E_tot: -5.0265 eV/atom
ΔE_f (raw): -1.0676 eV per atom
Total magnetic moment: 0.0 μB/f.u.

Lattice parameters (Å, degrees): 8.471 8.619 8.472 119.45 120.00 90.00
Positions (direct):
Te (0.000, 0.000, 0.500)
Te (0.500, 0.000, 0.500)
Te (0.500, 0.000, 0.000)
Te (0.000, 0.000, 0.000)
Ho (0.249, 0.728, 0.980)
Ho (0.269, 0.272, 0.020)
Ho (0.261, 0.283, 0.522)
Ho (0.731, 0.728, 0.980)
Ho (0.739, 0.717, 0.478)
Ho (0.751, 0.272, 0.503)
Ho (0.751, 0.272, 0.020)
Ho (0.249, 0.728, 0.497)
Ge (0.000, 0.500, 0.500)
Ge (0.500, 0.500, 0.000)
Ge (0.500, 0.500, 0.500)
Hg (0.000, 0.500, 0.000)